Here is Ho2Tm4Th after structural relaxation from Alexandria. Energies are from GGA-PBE. Values from VASP.

```
&SYSTEM
  ibrav = 0, nat = 14, ntyp = 3
/
ATOMIC_SPECIES
Ho 164.93 Ho.upf
Tm 168.93 Tm.upf
Th 232.04 Th.upf
ATOMIC_POSITIONS crystal
Ho 0.000 0.000 0.000
Ho 0.094 0.000 0.284
Ho 0.500 0.500 0.000
Ho 0.594 0.500 0.284
Tm 0.286 0.000 0.858
Tm 0.308 0.500 0.426
Tm 0.381 0.000 0.141
Tm 0.405 0.500 0.718
Tm 0.786 0.500 0.858
Tm 0.808 0.000 0.426
Tm 0.881 0.500 0.141
Tm 0.905 0.000 0.718
Th 0.190 0.000 0.572
Th 0.690 0.500 0.572
CELL_PARAMETERS angstrom
6.159 0.000 0.000
0.000 3.557 0.000
-2.058 0.000 19.735
```

**Energy above the most stable polymorph in this dataset**: 0 meV per atom
**ΔE_f**: 17 meV per atom
**SG**: No. 8
**V**: 30.88 Å³ per atom
**Theoretical density**: 9.5 g/cm³